# 1
Below is PSN2 after structural relaxation, with properties calculated at the PBE-GGA level.

Summary:
ΔE to the lowest computed polymorph: 314 meV per atom
Calculated volume: 11.61 A^3/atom
ΔE_f (raw): 0.764 eV per atom
Space-group type: I-42d
Raw total energy: -46.3 eV per cell

Cell lengths 4.9168, 4.9168, 5.1804 Å; angles 61.67, 61.67, 90.00 degrees
Last column: nearest neighbours and their distance in Å.
Positions (direct):
N: 0.4721 0.6250 0.2500  2 P 1.63
N: 0.3750 0.7221 0.7500  2 P 1.63
N: 0.2779 0.1250 0.2500  2 P 1.63
N: 0.8750 0.5279 0.7500  2 P 1.63
S: 0.0000 0.0000 0.0000  4 N 2.52
S: 0.7500 0.2500 0.5000  4 N 2.52
P: 0.5000 0.5000 0.0000  4 N 1.63
P: 0.2500 0.7500 0.5000  4 N 1.63


# 2
Below is FeAs2W after structural relaxation, with properties calculated at the PBE-GGA level.

Summary:
ΔE to the lowest computed polymorph: 407 meV per atom
Energy relative to the elements: 1.9 eV per formula unit
Calculated volume: 15.66 A^3/atom
Space-group type: Cmmm
Raw total energy: -28.8 eV per cell

Cell lengths 2.9272, 2.9272, 7.8959 Å; angles 90.00, 90.00, 112.22 degrees
Last column: nearest neighbours and their distance in Å.
Positions (direct):
As: 0.0000 0.0000 0.4904  2 Fe 2.50, 2 W 2.62
As: 0.0000 0.0000 0.0096  2 Fe 2.50, 2 W 2.62
W: 0.5000 0.5000 0.7500  4 As 2.62, 4 W 2.93
Fe: 0.5000 0.5000 0.2500  4 As 2.50


# 3
Below is LaZrIr after structural relaxation, with properties calculated at the PBE-GGA level.

Summary:
ΔE to the lowest computed polymorph: 0 meV per atom
Energy relative to the elements: -2.0 eV per formula unit
Calculated volume: 25.15 A^3/atom
Space-group type: P4/nmm
Raw total energy: -48.7 eV per cell

Cell lengths 4.7203, 4.7203, 6.7716 Å; angles 90.00, 90.00, 90.00 degrees
Last column: nearest neighbours and their distance in Å.
Positions (direct):
Ir: 0.0000 0.5000 0.3010  4 Zr 2.72, 1 La 2.88
Ir: 0.5000 0.0000 0.6990  4 Zr 2.72, 1 La 2.88
Zr: 0.0000 0.0000 0.5000  4 Ir 2.72
Zr: 0.5000 0.5000 0.5000  4 Ir 2.72
La: 0.5000 0.0000 0.1243  1 Ir 2.88
La: 0.0000 0.5000 0.8757  1 Ir 2.88


# 4
Below is CaNpBO5 after structural relaxation, with properties calculated at the PBE-GGA level.

Summary:
Calculated volume: 12.78 A^3/atom
ΔE_f (raw): -2.754 eV per atom
Space-group type: C2/c
Raw total energy: -136.9 eV per cell

Cell lengths 5.4901, 5.4901, 7.6076 Å; angles 103.03, 103.03, 105.95 degrees
Last column: nearest neighbours and their distance in Å.
Positions (direct):
B: 0.6843 0.3157 0.2500  4 O 1.51
B: 0.3157 0.6843 0.7500  4 O 1.51
O: 0.6793 0.1110 0.3547  1 B 1.51
O: 0.3207 0.8890 0.6453  1 B 1.51
O: 0.5840 0.7436 0.8900  1 B 1.51
O: 0.0964 0.9036 0.2500  2 Np 2.08, 1 Ca 2.24
O: 0.8890 0.3207 0.1453  1 B 1.51
O: 0.9036 0.0964 0.7500  2 Np 2.08, 1 Ca 2.24
O: 0.1110 0.6793 0.8547  1 B 1.51
O: 0.7436 0.5840 0.3900  1 B 1.51
O: 0.2564 0.4160 0.6100  1 B 1.51
O: 0.4160 0.2564 0.1100  1 B 1.51
Np: 0.0000 0.0000 0.5000  6 O 2.08-2.18
Np: 0.0000 0.0000 0.0000  6 O 2.08-2.18
Ca: 0.3517 0.6483 0.2500  5 O 2.24-2.50
Ca: 0.6483 0.3517 0.7500  5 O 2.24-2.50


# 5
Below is CaTaTl2 after structural relaxation, with properties calculated at the PBE-GGA level.

Summary:
Energy relative to the elements: 1.7 eV per formula unit
Calculated volume: 25.28 A^3/atom
Space-group type: P4mm
Raw total energy: -16.9 eV per cell

Cell lengths 3.1923, 3.1923, 9.9229 Å; angles 90.00, 90.00, 90.00 degrees
Last column: nearest neighbours and their distance in Å.
Positions (direct):
Ca: 0.0000 0.0000 0.5174  4 Ca 3.19, 4 Ta 3.30, 4 Tl 3.55
Tl: 0.5000 0.5000 0.2417  8 Tl 3.19-3.43, 4 Ca 3.55
Tl: 0.0000 0.0000 0.9816  4 Ta 3.16, 8 Tl 3.19-3.43
Ta: 0.5000 0.5000 0.7593  4 Tl 3.16, 4 Ta 3.19, 4 Ca 3.30


# 6
Below is In2TcSb after structural relaxation, with properties calculated at the PBE-GGA level.

Summary:
Calculated volume: 22.83 A^3/atom
ΔE_f (raw): 0.410 eV per atom
Space-group type: P2/m
Raw total energy: -18.3 eV per cell

Cell lengths 4.9886, 3.5741, 5.7147 Å; angles 63.68, 90.00, 90.00 degrees
Last column: nearest neighbours and their distance in Å.
Positions (direct):
Sb: 0.5000 0.2500 0.2500  2 Tc 2.61
In: 0.0000 0.6590 0.5221  3 In 2.88-2.95, 2 Tc 2.90, 2 Sb 3.19
In: 0.0000 0.8410 0.9779  3 In 2.88-2.95, 2 Tc 2.90, 2 Sb 3.19
Tc: 0.5000 0.7500 0.7500  2 Sb 2.61, 4 In 2.90


# 7
Below is Ba3CaPt2 after structural relaxation, with properties calculated at the PBE-GGA level.

Summary:
Energy relative to the elements: -3.8 eV per formula unit
Calculated volume: 42.44 A^3/atom
Space-group type: C2/m
Raw total energy: -47.2 eV per cell

Cell lengths 4.5720, 9.8608, 11.8718 Å; angles 83.14, 78.90, 76.60 degrees
Last column: nearest neighbours and their distance in Å.
Positions (direct):
Pt: 0.1214 0.6176 0.1396  2 Ca 2.92, 4 Ba 3.08-3.21
Pt: 0.3759 0.8705 0.3776  1 Ca 2.92, 5 Ba 3.11-3.26
Pt: 0.8786 0.3824 0.8604  2 Ca 2.92, 4 Ba 3.08-3.21
Pt: 0.6241 0.1295 0.6224  1 Ca 2.92, 5 Ba 3.11-3.26
Ca: 0.4431 0.4100 0.7039  3 Pt 2.92
Ca: 0.5569 0.5900 0.2961  3 Pt 2.92
Ba: 0.1805 0.1948 0.4442  3 Pt 3.12-3.26
Ba: 0.9375 0.9262 0.1987  3 Pt 3.09-3.11
Ba: 0.8195 0.8052 0.5558  3 Pt 3.12-3.26
Ba: 0.3129 0.3232 0.0509  3 Pt 3.08-3.21
Ba: 0.6871 0.6768 0.9491  3 Pt 3.08-3.21
Ba: 0.0625 0.0738 0.8013  3 Pt 3.09-3.11


# 8
Below is SrPmGaSi after structural relaxation, with properties calculated at the PBE-GGA level.

Summary:
Calculated volume: 25.92 A^3/atom
ΔE_f (raw): -0.323 eV per atom
Space-group type: F-43m
Raw total energy: -16.2 eV per cell

Cell lengths 5.2734, 5.2734, 5.2734 Å; angles 60.00, 60.00, 60.00 degrees
Last column: nearest neighbours and their distance in Å.
Positions (direct):
Ga: 0.2500 0.2500 0.2500  4 Pm 3.23, 4 Sr 3.23
Sr: 0.5000 0.5000 0.5000  4 Ga 3.23, 4 Si 3.23
Pm: 0.0000 0.0000 0.0000  4 Si 3.23, 4 Ga 3.23
Si: 0.7500 0.7500 0.7500  4 Pm 3.23, 4 Sr 3.23


- What is the calculated volume in the fifth record?
  25.28 A^3/atom


What did the fifth record say?
Below is CaTaTl2 after structural relaxation, with properties calculated at the PBE-GGA level.

Summary:
Energy relative to the elements: 1.7 eV per formula unit
Calculated volume: 25.28 A^3/atom
Space-group type: P4mm
Raw total energy: -16.9 eV per cell

Cell lengths 3.1923, 3.1923, 9.9229 Å; angles 90.00, 90.00, 90.00 degrees
Last column: nearest neighbours and their distance in Å.
Positions (direct):
Ca: 0.0000 0.0000 0.5174  4 Ca 3.19, 4 Ta 3.30, 4 Tl 3.55
Tl: 0.5000 0.5000 0.2417  8 Tl 3.19-3.43, 4 Ca 3.55
Tl: 0.0000 0.0000 0.9816  4 Ta 3.16, 8 Tl 3.19-3.43
Ta: 0.5000 0.5000 0.7593  4 Tl 3.16, 4 Ta 3.19, 4 Ca 3.30